ZnHgGeSe3 (PBE-GGA, relaxed); relative energy among the computed polymorphs = 0 meV per atom; SG = No. 63; electronic total energy = -2.9737 eV per atom
1.0
1.924 -7.428 0.000
1.924 7.428 0.000
0.000 0.000 10.557
Zn Hg Ge Se
2 2 2 6
Cartesian
0.000 0.000 0.000 Zn
0.000 0.000 5.279 Zn
1.924 2.445 7.918 Hg
1.924 -2.445 2.639 Hg
1.924 2.447 2.639 Ge
1.924 -2.447 7.918 Ge
1.924 6.673 7.918 Se
1.924 1.777 5.455 Se
1.924 1.777 10.381 Se
1.924 -1.777 0.176 Se
1.924 -1.777 5.102 Se
1.924 -6.673 2.639 Se